(1)
Here is a geometry-optimized Ca2PtCl structure from Alexandria. Energies are from PBE.

Cell and atoms, written as POSCAR:
```
Ca2PtCl
1.0
-0.274 1.122 3.877
1.620 -2.315 2.895
6.903 3.337 1.632
Ca Pt Cl
2 1 1
Cartesian
1.827 0.400 2.124
5.490 2.520 1.769
7.789 2.535 6.148
4.171 1.098 4.198
```

Calculated values
Its density of states at the Fermi level is 1.3 states/eV per cell. The value obtained for the volume is 106.1 Å³ per cell. The calculation puts the spin magnetization at 0.00 μB per formula unit. The value obtained for the excess energy over the best structure of this formula in the dataset is 33 meV per atom. Its uncorrected formation energy is -1.296 eV per atom.

=====

(2)
Here is a geometry-optimized CaPtCl2 structure from Alexandria. Energies are from PBE.

Cell and atoms, written as POSCAR:
```
CaPtCl2
1.0
4.769 0.000 0.000
0.000 4.769 0.000
2.385 2.385 8.156
Cl Pt Ca
4 2 2
Cartesian
1.060 3.577 2.039
5.962 6.094 6.117
3.709 1.192 2.039
3.577 3.445 6.117
0.000 0.000 0.000
4.769 2.385 4.078
2.385 4.769 4.078
2.385 2.385 0.000
```

Calculated values
Its density of states at the Fermi level is 0.0 states/eV per cell. The value obtained for the volume is 185.5 Å³ per cell. The calculation puts the spin magnetization at 0.00 μB per formula unit. The value obtained for the excess energy over the best structure of this formula in the dataset is 141 meV per atom. Its uncorrected formation energy is -0.921 eV per atom.

=====

(3)
Here is a geometry-optimized CaPtCl structure from Alexandria. Energies are from PBE.

Cell and atoms, written as POSCAR:
```
CaPtCl
1.0
-1.633 3.966 -1.957
-3.764 2.161 1.841
0.507 4.117 2.241
Pt Ca Cl
1 1 1
Cartesian
-1.222 2.561 0.531
0.000 0.000 0.000
-2.445 5.122 1.063
```

Calculated values
Its density of states at the Fermi level is 1.4 states/eV per cell. The value obtained for the volume is 74.1 Å³ per cell. The calculation puts the spin magnetization at 0.00 μB per formula unit. The value obtained for the excess energy over the best structure of this formula in the dataset is 359 meV per atom. Its uncorrected formation energy is -0.557 eV per atom.

=====

(4)
Here is a geometry-optimized CaPt3Cl structure from Alexandria. Energies are from PBE.

Cell and atoms, written as POSCAR:
```
CaPt3Cl
1.0
4.677 0.000 0.000
0.000 4.677 0.000
0.000 0.000 4.677
Pt Cl Ca
3 1 1
Cartesian
2.339 0.000 0.000
0.000 2.339 0.000
0.000 0.000 2.339
0.000 0.000 0.000
2.339 2.339 2.339
```

Calculated values
Its density of states at the Fermi level is 2.0 states/eV per cell. The value obtained for the volume is 102.3 Å³ per cell. The calculation puts the spin magnetization at 0.00 μB per formula unit. The value obtained for the excess energy over the best structure of this formula in the dataset is 0 meV per atom. Its uncorrected formation energy is 0.239 eV per atom.